PBE NaYSiPt, optimized geometry; calculated total energy = -21.4 eV/cell; space group = F-43m (216)
1.0
-1.622 3.064 3.161
-0.318 4.551 -1.093
-4.211 1.980 -0.598
Si Pt Na Y
1 1 1 1
direct
0.500 0.500 0.500
0.250 0.250 0.250
0.750 0.750 0.750
0.000 0.000 0.000

PBE BaNdSb2, optimized geometry; calculated total energy = -57.0 eV/cell; space group = P-6m2 (187)
1.0
8.449 0.000 0.000
-4.225 7.317 0.000
0.000 0.000 7.376
Sb Nd Ba
6 3 3
direct
0.667 0.333 0.279
0.333 0.667 0.721
0.667 0.333 0.721
0.000 0.000 0.279
0.000 0.000 0.721
0.333 0.667 0.279
0.000 0.334 0.500
0.666 0.666 0.500
0.334 0.000 0.500
0.667 0.000 0.000
0.000 0.667 0.000
0.333 0.333 0.000